A PBEsol-optimized structure of HfSb2Os, computed with meta-GGA SCAN.

```
HfSb2Os
1.0
-0.908 4.477 -1.333
-1.914 3.063 3.098
2.616 3.576 1.736
Hf Sb Os
1 2 1
Direct
0.000 0.000 0.000
0.250 0.250 0.250
0.750 0.750 0.750
0.500 0.500 0.500
```

Summary:
Crystal system: cubic
Fermi-level density of states: 4.519 states/eV per cell
VASP energy: -1.912 hartree per atom